# Mn3O5F, relaxed, DFT PBE+U
# **Electronic total energy**: -6.96 eV/atom
data_Mn3O5F
_symmetry_space_group_name_H-M 'C m m m'
_symmetry_Int_Tables_number 65
_symmetry_space_group_name_Hall '-C 2 2'
_cell_length_a 6.3047
_cell_length_b 19.8648
_cell_length_c 3.0001
_cell_angle_alpha 90.00
_cell_angle_beta 90.00
_cell_angle_gamma 90.00
loop_
_atom_site_label
_atom_site_type_symbol
_atom_site_fract_x
_atom_site_fract_y
_atom_site_fract_z
Mn1 Mn 0.0000 0.0000 0.0000
Mn2 Mn 0.0000 0.1630 0.5000
Mn3 Mn 0.0000 0.3221 0.0000
Mn4 Mn 0.0000 0.5000 0.5000
O1 O 0.0000 0.0634 0.5000
O2 O 0.0000 0.2624 0.5000
O3 O 0.1948 0.5000 0.0000
O4 O 0.1961 0.1644 0.0000
F1 F 0.0000 0.3906 0.5000